1.
A relaxed Y2SnHg5 crystal, computed with PBE.

Cell: 4.4999 6.6055 13.2210 Å, 90.00 90.00 90.00°
Closest atoms and distances in Å follow each position.
Atoms (fractional coordinates):
1 Hg 0.5000 0.7319 0.6299  6 Hg 3.19-3.23, 4 Y 3.29-3.32, 2 Sn 3.34
2 Hg 0.0000 0.0000 0.0000  6 Hg 3.22-3.30, 4 Y 3.28, 2 Sn 3.30
3 Hg 0.5000 0.2319 0.8701  6 Hg 3.19-3.23, 4 Y 3.29-3.32, 2 Sn 3.34
4 Hg 0.0000 0.0247 0.2494  7 Hg 3.19-3.30, 4 Y 3.26-3.30, 1 Sn 3.32
5 Hg 0.5000 0.7681 0.1299  6 Hg 3.19-3.23, 4 Y 3.29-3.32, 2 Sn 3.34
6 Sn 0.0000 0.0000 0.5000  4 Y 3.15, 8 Hg 3.30-3.34
7 Y 0.5000 0.2302 0.6203  2 Sn 3.15, 10 Hg 3.26-3.32
8 Hg 0.0000 0.4753 0.7494  7 Hg 3.19-3.30, 4 Y 3.26-3.30, 1 Sn 3.32
9 Y 0.5000 0.2698 0.1203  2 Sn 3.15, 10 Hg 3.26-3.32
10 Y 0.5000 0.7698 0.3797  2 Sn 3.15, 10 Hg 3.26-3.32
11 Y 0.5000 0.7302 0.8797  2 Sn 3.15, 10 Hg 3.26-3.32
12 Sn 0.0000 0.5000 0.0000  4 Y 3.15, 8 Hg 3.30-3.34
13 Hg 0.5000 0.2681 0.3701  6 Hg 3.19-3.23, 4 Y 3.29-3.32, 2 Sn 3.34
14 Hg 0.0000 0.5247 0.2506  7 Hg 3.19-3.30, 4 Y 3.26-3.30, 1 Sn 3.32
15 Hg 0.0000 0.5000 0.5000  6 Hg 3.22-3.30, 4 Y 3.28, 2 Sn 3.30
16 Hg 0.0000 0.9753 0.7506  7 Hg 3.19-3.30, 4 Y 3.26-3.30, 1 Sn 3.32

Computed properties:
The value obtained for the size of the total moment is 0.00 μB/cell. As for the raw total energy: -2.6887 eV per atom. Its energy of formation is -0.38 eV per atom.


2.
A relaxed HoTh2Bi crystal, computed with PBE.

Cell: 3.5046 3.5046 12.6917 Å, 82.06 82.06 60.00°
Closest atoms and distances in Å follow each position.
Atoms (fractional coordinates):
1 Th 0.9120 0.9120 0.2641  1 Bi 3.31, 6 Th 3.50, 3 Ho 3.58
2 Th 0.0880 0.0880 0.7359  1 Bi 3.31, 6 Th 3.50, 3 Ho 3.58
3 Ho 0.5000 0.5000 0.5000  6 Ho 3.50, 6 Th 3.58
4 Bi 0.0000 0.0000 0.0000  2 Th 3.31, 6 Bi 3.50

Computed properties:
The value obtained for the size of the total moment is 0.00 μB/cell. As for the raw total energy: -5.6950 eV per atom. Its energy of formation is 0.13 eV per atom.


3.
A relaxed CaFe2Ir crystal, computed with PBE.

Cell: 3.1341 4.4789 4.4993 Å, 90.00 90.00 90.00°
Closest atoms and distances in Å follow each position.
Atoms (fractional coordinates):
1 Ca 0.0000 0.5000 0.5000  4 Ir 2.73, 4 Fe 2.74
2 Fe 0.5000 0.5000 0.0000  4 Fe 2.73, 4 Ca 2.74
3 Fe 0.0000 0.0000 0.0000  4 Fe 2.73, 4 Ir 2.74
4 Ir 0.5000 0.0000 0.5000  4 Ca 2.73, 4 Fe 2.74

Computed properties:
The value obtained for the size of the total moment is 5.68 μB/cell. As for the raw total energy: -6.5891 eV per atom. Its energy of formation is 0.36 eV per atom.


> Number 1 is which compound?

Y2SnHg5


Please write out number 3 again, unchanged.
A relaxed CaFe2Ir crystal, computed with PBE.

Cell: 3.1341 4.4789 4.4993 Å, 90.00 90.00 90.00°
Closest atoms and distances in Å follow each position.
Atoms (fractional coordinates):
1 Ca 0.0000 0.5000 0.5000  4 Ir 2.73, 4 Fe 2.74
2 Fe 0.5000 0.5000 0.0000  4 Fe 2.73, 4 Ca 2.74
3 Fe 0.0000 0.0000 0.0000  4 Fe 2.73, 4 Ir 2.74
4 Ir 0.5000 0.0000 0.5000  4 Ca 2.73, 4 Fe 2.74

Computed properties:
The value obtained for the size of the total moment is 5.68 μB/cell. As for the raw total energy: -6.5891 eV per atom. Its energy of formation is 0.36 eV per atom.


> The lowest raw total energy belongs to which entry?

CaFe2Ir